[1]
DFT (PBE) results for a relaxed structure of B5C7.

Values from the calculation:
DOS at the Fermi energy in states/eV/cell: 1.5
E in eV/atom: -7.78
Formation enthalpy at 0 K in eV/atom: 0.3801
Offset from the most stable computed form in kcal/mol of atoms: 2.82

Cell lengths 4.050, 4.528, 5.053 Å; angles 106.46, 90.22, 115.89 degrees
Space group P1 (No. 1)
One atom of each set of equivalent atoms:
B 0.000 0.000 0.000
B 0.006 0.021 0.471
B 0.275 0.968 0.724
B 0.349 0.016 0.241
B 0.792 0.416 0.837
C 0.382 0.655 0.151
C 0.402 0.674 0.646
C 0.582 0.650 0.899
C 0.615 0.666 0.397
C 0.741 0.364 0.323
C 0.962 0.358 0.082
C 0.969 0.374 0.565

=====

[2]
DFT (PBE) results for a relaxed structure of CuNiSnPd.

Values from the calculation:
DOS at the Fermi energy in states/eV/cell: 13.7
E in eV/atom: -4.99
Formation enthalpy at 0 K in eV/atom: -0.2240
Offset from the most stable computed form in kcal/mol of atoms: 0.51

Cell lengths 6.183, 6.183, 6.183 Å; angles 90.00, 90.00, 90.00 degrees
Space group F-43m (No. 216)
One atom of each set of equivalent atoms:
Cu 0.000 0.000 0.000
Ni 0.250 0.250 0.750
Sn 0.000 0.000 0.500
Pd 0.250 0.250 0.250